Record 1
Below is crystalline Cr2AgPb at its relaxed geometry, with properties calculated at the PBE level.

Output
Total magnetic moment in μB per formula unit: 7.84
Energy of formation from the pure elements in eV per atom: 0.61
E in eV for the cell shown: -23.377

Cell: 3.318 3.318 7.033 Å, 90.00 90.00 90.00°
Fractional positions:
Cr 0.000 0.000 0.228
Cr 0.000 0.000 0.772
Ag 0.500 0.500 0.000
Pb 0.500 0.500 0.500



Record 2
Below is crystalline CrAgPb4 at its relaxed geometry, with properties calculated at the PBE level.

Output
Total magnetic moment in μB per formula unit: 4.68
Energy of formation from the pure elements in eV per atom: 0.61
E in eV for the cell shown: -23.673

Cell: 6.356 6.356 6.356 Å, 60.00 60.00 60.00°
Fractional positions:
Cr 0.000 0.000 0.000
Ag 0.250 0.250 0.250
Pb 0.125 0.625 0.625
Pb 0.625 0.125 0.625
Pb 0.625 0.625 0.125
Pb 0.625 0.625 0.625



Record 3
Below is crystalline CrAg2Pb at its relaxed geometry, with properties calculated at the PBE level.

Output
Total magnetic moment in μB per formula unit: 4.20
Energy of formation from the pure elements in eV per atom: 0.45
E in eV for the cell shown: -17.241

Cell: 9.590 9.590 9.590 Å, 19.25 19.25 19.25°
Fractional positions:
Cr 0.000 0.000 0.000
Ag 0.487 0.487 0.487
Ag 0.742 0.742 0.742
Pb 0.245 0.245 0.245



Record 4
Below is crystalline CrAgPb2 at its relaxed geometry, with properties calculated at the PBE level.

Output
Total magnetic moment in μB per formula unit: 4.60
ΔE to the lowest computed polymorph in meV/atom: 35
Energy of formation from the pure elements in eV per atom: 0.37
E in eV for the cell shown: -18.425

Cell: 5.108 5.108 5.108 Å, 60.00 60.00 60.00°
Fractional positions:
Cr 0.000 0.000 0.000
Ag 0.500 0.500 0.500
Pb 0.250 0.250 0.250
Pb 0.750 0.750 0.750



Record 5
Below is crystalline CrAgPb2 at its relaxed geometry, with properties calculated at the PBE level.

Output
Total magnetic moment in μB per formula unit: 4.07
ΔE to the lowest computed polymorph in meV/atom: 0
Energy of formation from the pure elements in eV per atom: 0.33
E in eV for the cell shown: -18.566

Cell: 3.436 3.436 8.115 Å, 90.00 90.00 90.00°
Fractional positions:
Cr 0.000 0.000 0.000
Ag 0.500 0.500 0.819
Pb 0.000 0.000 0.576
Pb 0.500 0.500 0.228



Record 6
Below is crystalline CrAgSbPb2 at its relaxed geometry, with properties calculated at the PBE level.

Output
Total magnetic moment in μB per formula unit: 0.00
E in eV for the cell shown: -21.725

Cell: 5.231 5.231 4.959 Å, 90.00 90.00 90.00°
Fractional positions:
Cr 0.000 0.000 0.000
Ag 0.500 0.500 0.500
Sb 0.000 0.000 0.500
Pb 0.000 0.500 0.000
Pb 0.500 0.000 0.000



Record 7
Below is crystalline CrSi2AgPb at its relaxed geometry, with properties calculated at the PBE level.

Output
Total magnetic moment in μB per formula unit: 0.07
E in eV for the cell shown: -17.463

Cell: 5.259 5.259 5.039 Å, 90.00 90.00 90.00°
Fractional positions:
Cr 0.000 0.000 0.000
Si 0.000 0.500 0.500
Si 0.500 0.000 0.500
Ag 0.500 0.500 0.000
Pb 0.000 0.000 0.500



Record 8
Below is crystalline CrAgTe3Pb at its relaxed geometry, with properties calculated at the PBE level.

Output
Total magnetic moment in μB per formula unit: 2.99
E in eV for the cell shown: -53.175

Cell: 8.049 4.168 10.179 Å, 90.00 108.11 90.00°
Fractional positions:
Cr 0.183 0.250 0.156
Cr 0.817 0.750 0.844
Ag 0.420 0.750 0.401
Ag 0.580 0.250 0.599
Te 0.055 0.250 0.873
Te 0.196 0.250 0.446
Te 0.406 0.750 0.126
Te 0.594 0.250 0.874
Te 0.804 0.750 0.554
Te 0.945 0.750 0.127
Pb 0.265 0.750 0.706
Pb 0.735 0.250 0.294



Record 9
Below is crystalline TiCr2AgPb at its relaxed geometry, with properties calculated at the PBE level.

Output
Total magnetic moment in μB per formula unit: 5.60
Energy of formation from the pure elements in eV per atom: 1.13
E in eV for the cell shown: -28.070

Cell: 4.560 4.560 5.331 Å, 90.00 90.00 90.00°
Fractional positions:
Ti 0.000 0.000 0.000
Cr 0.000 0.500 0.000
Cr 0.500 0.000 0.000
Ag 0.500 0.500 0.500
Pb 0.000 0.000 0.500



Record 10
Below is crystalline Ti2CrAgPb at its relaxed geometry, with properties calculated at the PBE level.

Output
Total magnetic moment in μB per formula unit: 1.62
Energy of formation from the pure elements in eV per atom: 0.96
E in eV for the cell shown: -27.171

Cell: 4.918 4.918 4.881 Å, 90.00 90.00 90.00°
Fractional positions:
Ti 0.000 0.500 0.000
Ti 0.500 0.000 0.000
Cr 0.000 0.000 0.500
Ag 0.000 0.000 0.000
Pb 0.500 0.500 0.500



Record 11
Below is crystalline Cr4Ag2Pd at its relaxed geometry, with properties calculated at the PBE level.

Output
Total magnetic moment in μB per formula unit: 17.04
Energy of formation from the pure elements in eV per atom: 1.17
E in eV for the cell shown: -41.228

Cell: 7.584 7.584 7.584 Å, 143.07 143.07 53.22°
Fractional positions:
Cr 0.000 0.500 0.500
Cr 0.189 0.189 0.000
Cr 0.500 0.000 0.500
Cr 0.811 0.811 0.000
Ag 0.389 0.389 0.000
Ag 0.611 0.611 0.000
Pd 0.000 0.000 0.000



Record 12
Below is crystalline Cr2AgPd8 at its relaxed geometry, with properties calculated at the PBE level.

Output
Total magnetic moment in μB per formula unit: 5.89
Energy of formation from the pure elements in eV per atom: 0.03
E in eV for the cell shown: -63.268

Cell: 7.235 7.235 7.235 Å, 146.61 122.59 68.06°
Fractional positions:
Cr 0.196 0.196 0.000
Cr 0.804 0.804 0.000
Ag 0.500 0.500 0.000
Pd 0.057 0.343 0.714
Pd 0.194 0.000 0.194
Pd 0.346 0.846 0.500
Pd 0.371 0.657 0.714
Pd 0.629 0.343 0.286
Pd 0.654 0.154 0.500
Pd 0.806 0.000 0.806
Pd 0.943 0.657 0.286



Which of these has the lowest E? Cr2AgPd8



Which of these has the highest E? CrAg2Pb



The lowest E belongs to which entry? Cr2AgPd8



Look up the total magnetic moment of the first one. 7.84 μB per formula unit